No. 1
# PbW2Cl (PBE, optimized geometry)
data_PbW2Cl
_symmetry_space_group_name_H-M 'C m m 2'
_symmetry_Int_Tables_number 35
_symmetry_space_group_name_Hall 'C 2 -2'
_cell_length_a 3.346
_cell_length_b 5.087
_cell_length_c 9.962
_cell_angle_alpha 90.00
_cell_angle_beta 90.00
_cell_angle_gamma 90.00
loop_
_atom_site_label
_atom_site_type_symbol
_atom_site_fract_x
_atom_site_fract_y
_atom_site_fract_z
Pb1 Pb 0.000 0.000 0.000
W1 W 0.000 0.000 0.541
W2 W 0.000 0.500 0.734
Cl1 Cl 0.000 0.500 0.338
# - Calculated volume: 21.2 Å³/atom
# - Formation energy (no corrections): 40.3 kJ/mol of atoms

=====

No. 2
# In9GaSn2 (PBE, optimized geometry)
data_In9GaSn2
_symmetry_space_group_name_H-M 'P m m m'
_symmetry_Int_Tables_number 47
_symmetry_space_group_name_Hall '-P 2 2'
_cell_length_a 4.825
_cell_length_b 5.133
_cell_length_c 12.952
_cell_angle_alpha 90.00
_cell_angle_beta 90.00
_cell_angle_gamma 90.00
loop_
_atom_site_label
_atom_site_type_symbol
_atom_site_fract_x
_atom_site_fract_y
_atom_site_fract_z
In1 In 0.000 0.000 0.000
In2 In 0.000 0.000 0.332
In3 In 0.000 0.500 0.156
In4 In 0.000 0.500 0.500
In5 In 0.500 0.000 0.161
In6 In 0.500 0.000 0.500
Ga1 Ga 0.500 0.500 0.000
Sn1 Sn 0.500 0.500 0.326
# - Calculated volume: 26.7 Å³/atom
# - Uncorrected energy: -35.3 eV/f.u.

=====

No. 3
# Si2SbOs (PBE, optimized geometry)
data_Si2SbOs
_symmetry_space_group_name_H-M 'I m m m'
_symmetry_Int_Tables_number 71
_symmetry_space_group_name_Hall '-I 2 2'
_cell_length_a 2.990
_cell_length_b 5.007
_cell_length_c 9.452
_cell_angle_alpha 90.00
_cell_angle_beta 90.00
_cell_angle_gamma 90.00
loop_
_atom_site_label
_atom_site_type_symbol
_atom_site_fract_x
_atom_site_fract_y
_atom_site_fract_z
Si1 Si 0.000 0.000 0.211
Sb1 Sb 0.000 0.500 0.000
Os1 Os 0.000 0.500 0.500
# - Calculated volume: 17.7 Å³/atom
# - Formation energy (no corrections): 53.1 kJ/mol of atoms